Compound: Ac2NiI
Source: Alexandria
Functional: PBE
Structure: optimized geometry

Geometry as POSCAR:
```
Ac2NiI
1.0
-0.414 -2.471 -2.797
1.477 -2.692 2.160
-8.097 -2.037 2.999
I Ac Ni
1 2 1
direct
0.500 0.500 0.500
0.000 0.000 0.202
0.000 0.000 0.798
0.500 0.500 0.000
```

Density of states at the Fermi level in states/eV per cell: 3.512
E above lowest polymorph in eV/atom: 0.2299

***

Compound: TiGaF
Source: Alexandria
Functional: PBE
Structure: optimized geometry

Geometry as POSCAR:
```
TiGaF
1.0
2.897 0.000 0.000
-1.449 2.509 0.000
0.000 0.000 12.625
Ga F Ti
2 2 2
direct
0.555 0.110 0.000
0.558 0.116 0.500
0.555 0.110 0.719
0.555 0.110 0.281
0.222 0.443 0.826
0.222 0.443 0.174
```

Density of states at the Fermi level in states/eV per cell: 4.912
Raw total energy in eV per atom: -5.740

***

Compound: Sr2SbH
Source: Alexandria
Functional: PBE
Structure: optimized geometry

Geometry as POSCAR:
```
Sr2SbH
1.0
-0.815 0.712 -4.903
0.421 -3.846 -3.200
-5.316 -2.190 -2.005
Sr Sb H
2 1 1
direct
0.239 0.239 0.284
0.761 0.761 0.716
0.000 0.000 0.000
0.500 0.500 0.500
```

E above lowest polymorph in eV/atom: 0.1149

***

Compound: Nb2GaI
Source: Alexandria
Functional: PBE
Structure: optimized geometry

Geometry as POSCAR:
```
Nb2GaI
1.0
0.000 3.350 3.350
3.350 0.000 3.350
3.350 3.350 0.000
Ga I Nb
1 1 2
direct
0.000 0.000 0.000
0.500 0.500 0.500
0.750 0.750 0.750
0.250 0.250 0.250
```

Density of states at the Fermi level in states/eV per cell: 2.822
E above lowest polymorph in eV/atom: 0.0000

***

Compound: Tb2Tm2S3
Source: Alexandria
Functional: PBE
Structure: optimized geometry

Geometry as POSCAR:
```
Tb2Tm2S3
1.0
-3.838 -0.199 0.128
1.664 0.989 -6.402
0.357 -6.609 0.376
Tm S Tb
2 3 2
direct
0.125 0.250 0.375
0.875 0.750 0.625
0.255 0.509 0.747
0.000 0.000 0.000
0.745 0.491 0.253
0.376 0.751 0.134
0.624 0.249 0.866
```

Density of states at the Fermi level in states/eV per cell: 3.362
Raw total energy in eV per atom: -6.056

***

Compound: LaAs2W
Source: Alexandria
Functional: PBE
Structure: optimized geometry

Geometry as POSCAR:
```
LaAs2W
1.0
-0.730 -3.894 0.440
0.473 0.259 3.078
-6.369 1.397 1.793
As W La
2 1 1
direct
0.000 0.931 0.968
0.000 0.569 0.532
0.500 0.750 0.750
0.500 0.250 0.250
```

Energy of formation in eV/atom: -0.139
Density of states at the Fermi level in states/eV per cell: 4.041
E above lowest polymorph in eV/atom: 0.3422